(1)
A relaxed NiCSe3 crystal. Source: Alexandria via LeMat-Bulk, functional PBE.

* density of states at the Fermi level: 0.9102 states/eV per atom
* spin magnetization: 1.132 μB per cell
* E: -3.804 eV/atom
* relative energy among the computed polymorphs: 0.00 eV per formula unit
* E_form (uncorrected): 124.27 kJ/mol of atoms
* crystal system: cubic
* space group: No. 221

Cell: 4.347 4.347 4.347 Å, 90.00 90.00 90.00°
Atoms (fractional coordinates):
Ni1 0.500 0.500 0.500
C1 0.000 0.000 0.000
Se1 0.000 0.500 0.000
Se2 0.000 0.000 0.500
Se3 0.500 0.000 0.000

***

(2)
A relaxed Ni3CSe crystal. Source: Alexandria via LeMat-Bulk, functional PBE.

* density of states at the Fermi level: 0.4632 states/eV per atom
* spin magnetization: 0.001 μB per cell
* E: -4.373 eV/atom
* relative energy among the computed polymorphs: 7.21 eV per formula unit
* E_form (uncorrected): 158.02 kJ/mol of atoms
* crystal system: cubic
* space group: No. 221

Cell: 4.301 4.301 4.301 Å, 90.00 90.00 90.00°
Atoms (fractional coordinates):
Ni1 0.000 0.500 0.000
Ni2 0.000 0.000 0.500
Ni3 0.500 0.000 0.000
C1 0.500 0.500 0.500
Se1 0.000 0.000 0.000

***

(3)
A relaxed Ni3CSe crystal. Source: Alexandria via LeMat-Bulk, functional PBE.

* density of states at the Fermi level: 0.3518 states/eV per atom
* spin magnetization: 0.000 μB per cell
* E: -5.814 eV/atom
* relative energy among the computed polymorphs: 0.00 eV per formula unit
* E_form (uncorrected): 18.92 kJ/mol of atoms
* crystal system: cubic
* space group: No. 221

Cell: 3.855 3.855 3.855 Å, 90.00 90.00 90.00°
Atoms (fractional coordinates):
Ni1 0.000 0.500 0.000
Ni2 0.000 0.000 0.500
Ni3 0.500 0.000 0.000
C1 0.000 0.000 0.000
Se1 0.500 0.500 0.500